CsLa2AgI8: relaxed, PBE.

Its crystal system is triclinic. The mass density is 3.71 g/cm3. The calculation puts the density of states at the Fermi level at 0.0 states/eV per cell. The calculation puts the uncorrected formation energy at -1275 meV per atom.

It has space group P-1 (No. 2), with a = 8.5174 Å, b = 9.4244 Å, c = 9.5565 Å, α = 79.25°, β = 83.04° and γ = 65.80°. Symmetry generates all atoms from Cs at (0.0000, 0.0000, 0.0000), La at (0.0321, 0.4704, 0.2565), Ag at (0.0000, 0.0000, 0.5000), I at (0.1845, 0.7551, 0.6856), I at (0.2172, 0.2754, 0.5472), I at (0.2263, 0.2919, 0.9861) and I at (0.2912, 0.6222, 0.2118).